(1)
Here is a PBEsol-optimized structure of LiCl3O from Alexandria. Energies are from SCAN.

a b c (Å): 4.442 4.442 4.442
angles (deg): 90.00 90.00 90.00
Fractional positions:
Li  0.000  0.000  0.000
Cl  0.000  0.500  0.500
Cl  0.500  0.000  0.500
Cl  0.500  0.500  0.000
O  0.500  0.500  0.500

Results
- Formation energy without anion corrections: -12 kJ/mol of atoms
- Space group: Pm-3m (221)

---

(2)
Here is a PBEsol-optimized structure of Ag2SnPb from Alexandria. Energies are from SCAN.

a b c (Å): 4.985 4.985 4.985
angles (deg): 60.00 60.00 60.00
Fractional positions:
Ag  0.250  0.250  0.250
Ag  0.750  0.750  0.750
Sn  0.000  0.000  0.000
Pb  0.500  0.500  0.500

Results
- Formation enthalpy at 0 K: 0.17 eV per atom
- Space group: Fm-3m (225)

---

(3)
Here is a PBEsol-optimized structure of SrTaIr3 from Alexandria. Energies are from SCAN.

a b c (Å): 4.715 4.715 4.715
angles (deg): 90.00 90.00 90.00
Fractional positions:
Sr  0.000  0.000  0.000
Ta  0.500  0.500  0.500
Ir  0.000  0.000  0.500
Ir  0.000  0.500  0.000
Ir  0.500  0.000  0.000

Results
- Formation enthalpy at 0 K: 3.09 eV per atom
- Space group: Pm-3m (221)
- Energy above the most stable polymorph in this dataset: 12.57 eV/f.u.

---

(4)
Here is a PBEsol-optimized structure of NaTaAs2 from Alexandria. Energies are from SCAN.

a b c (Å): 7.101 7.101 7.101
angles (deg): 124.98 124.98 81.58
Fractional positions:
Na  0.000  0.000  0.000
Na  0.750  0.250  0.500
Ta  0.250  0.750  0.500
Ta  0.500  0.500  0.000
As  0.189  0.125  0.564
As  0.375  0.811  0.936
As  0.561  0.625  0.436
As  0.875  0.439  0.064

Results
- Formation enthalpy at 0 K: -0.16 eV per atom
- Space group: I-42d (122)